(1)
## SiAsSe3 (PBE-GGA)

Data for SiAsSe3 after structural relaxation.

The excess energy over the best structure of this formula in the dataset is 0 meV per atom. The density of states at the Fermi level comes out at 2.065 states/eV/cell. The calculation puts the total magnetization at 0.000 Bohr magnetons per cell.

The space group is C2/m (No. 12) and the conventional cell measures 15.163, 3.468 and 11.972 Å, with angles of 90.00, 115.05 and 90.00 degrees. The asymmetric unit holds Si at (0.160, 0.000, 0.387), As at (0.031, 0.500, 0.750), Se at (0.123, 0.500, 0.220), Se at (0.125, 0.000, 0.894) and Se at (0.169, 0.500, 0.547).


(2)
## SiAs2Se (PBE-GGA)

Data for SiAs2Se after structural relaxation.

The excess energy over the best structure of this formula in the dataset is 393 meV per atom. The density of states at the Fermi level comes out at 3.436 states/eV/cell. The calculation puts the total magnetization at 0.000 Bohr magnetons per cell.

The space group is Cmm2 (No. 35) and the conventional cell measures 3.597, 5.766 and 8.786 Å, with angles of 90.00, 90.00 and 90.00 degrees. The asymmetric unit holds Si at (0.000, 0.000, 0.000), As at (0.000, 0.000, 0.570), As at (0.000, 0.500, 0.768) and Se at (0.000, 0.500, 0.180).


One value per record, in order, for energy relative to the elements, uncorrected: -0.0991; 0.3348 eV/atom.